{
  "formula": "MoPRh3",
  "functional": "PBE",
  "state": "relaxed",
  "cell": [[4.662, 0.000, 0.000], [0.000, 4.662, 0.000], [0.000, 0.000, 4.662]],
  "species": ["Mo", "P", "Rh", "Rh", "Rh"],
  "fractional_positions": [[0.000, 0.000, 0.000], [0.500, 0.500, 0.500], [0.000, 0.000, 0.500], [0.000, 0.500, 0.000], [0.500, 0.000, 0.000]],
  "de_polymorph_mev_per_atom": 1026,
  "sg": "Pm-3m (221)",
  "ef_mev_per_atom": 1380,
  "total_energy_ev_per_fu": -31.4
}



{
  "formula": "Pt5Rh4W",
  "functional": "PBE",
  "state": "relaxed",
  "cell": [[6.894, -1.945, 0.000], [6.894, 1.945, 0.000], [-3.442, 0.000, 6.018]],
  "species": ["Pt", "Pt", "Pt", "Pt", "Pt", "Rh", "Rh", "Rh", "Rh", "W"],
  "fractional_positions": [[0.000, 0.000, 0.000], [0.329, 0.329, 0.387], [0.334, 0.334, 0.790], [0.666, 0.666, 0.210], [0.671, 0.671, 0.613], [0.174, 0.174, 0.914], [0.478, 0.478, 0.239], [0.522, 0.522, 0.761], [0.826, 0.826, 0.086], [0.000, 0.000, 0.500]],
  "sg": "C2/m (12)",
  "ef_mev_per_atom": 114,
  "total_energy_ev_per_fu": -71.4
}



{
  "formula": "Be2NiHIr",
  "functional": "PBE",
  "state": "relaxed",
  "cell": [[3.785, 0.000, 0.000], [0.000, 3.785, 0.000], [0.000, 0.000, 3.027]],
  "species": ["Be", "Be", "Ni", "H", "Ir"],
  "fractional_positions": [[0.000, 0.500, 0.000], [0.500, 0.000, 0.000], [0.000, 0.000, 0.500], [0.000, 0.000, 0.000], [0.500, 0.500, 0.500]],
  "sg": "P4/mmm (123)",
  "total_energy_ev_per_fu": -26.9
}



{
  "formula": "LiDyGaPb",
  "functional": "PBE",
  "state": "relaxed",
  "cell": [[0.000, 3.599, 3.599], [3.599, 0.000, 3.599], [3.599, 3.599, 0.000]],
  "species": ["Li", "Dy", "Ga", "Pb"],
  "fractional_positions": [[0.000, 0.000, 0.000], [0.500, 0.500, 0.500], [0.250, 0.250, 0.250], [0.750, 0.750, 0.750]],
  "sg": "F-43m (216)",
  "ef_mev_per_atom": -338,
  "total_energy_ev_per_fu": -14.6
}



{
  "formula": "Cs3SrLi2I6",
  "functional": "PBE",
  "state": "relaxed",
  "cell": [[8.838, 0.000, 0.000], [-4.419, 7.654, 0.000], [0.000, 0.000, 9.953]],
  "species": ["Cs", "Cs", "Cs", "Sr", "Li", "Li", "I", "I", "I", "I", "I", "I"],
  "fractional_positions": [[0.000, 0.000, 0.000], [0.333, 0.667, 0.639], [0.667, 0.333, 0.361], [0.000, 0.000, 0.500], [0.333, 0.667, 0.197], [0.667, 0.333, 0.803], [0.169, 0.339, 0.301], [0.169, 0.831, 0.301], [0.339, 0.169, 0.699], [0.661, 0.831, 0.301], [0.831, 0.169, 0.699], [0.831, 0.661, 0.699]],
  "sg": "P-3m1 (164)",
  "raw_formation_energy_ev_per_atom": -1.30,
  "total_energy_ev_per_fu": -32.9
}



{
  "formula": "Y2C",
  "functional": "PBE",
  "state": "relaxed",
  "cell": [[5.941, -1.711, 0.000], [5.941, 1.711, 0.000], [-0.560, 0.000, 6.562]],
  "species": ["Y", "Y", "Y", "Y", "C", "C"],
  "fractional_positions": [[0.000, 0.000, 0.000], [0.504, 0.504, 0.479], [0.742, 0.742, 0.749], [0.760, 0.760, 0.271], [0.158, 0.158, 0.516], [0.391, 0.391, 0.155]],
  "sg": "Cm (8)",
  "ef_mev_per_atom": -44,
  "total_energy_ev_per_fu": -22.3
}



| no. | D(E_F) (states/eV/atom) |
| --- | --- |
| 1 | 1.0294 |
| 2 | 1.3563 |
| 3 | 0.3671 |
| 4 | 0.5369 |
| 5 | 0.2437 |
| 6 | 0.5406 |